Computed, not measured: a relaxed FeCu2Mo crystal at the PBE level of DFT.

Values from the calculation:
E above lowest polymorph ... 2.32 eV per formula unit
Spin magnetization ... 2.245 μB/f.u.
ΔH_f (0 K) ... 0.73 eV/atom
V ... 13.88 Å³ per atom

abc: 5.3642 5.3642 5.3642
angles: 101.78 101.78 126.28
Closest atoms and distances in Å follow each position.
Fractional coordinates of all 8 atoms:
1 Fe 0.0000 0.0000 0.0000  4 Cu 2.38, 2 Mo 2.42
2 Fe 0.7500 0.2500 0.5000  4 Cu 2.38, 2 Mo 2.42
3 Cu 0.1066 0.6250 0.9816  2 Fe 2.38, 2 Cu 2.44, 2 Mo 2.56
4 Cu 0.3750 0.3566 0.4816  2 Fe 2.38, 2 Cu 2.44, 2 Mo 2.56
5 Cu 0.6434 0.1250 0.0184  2 Fe 2.38, 2 Cu 2.44, 2 Mo 2.56
6 Cu 0.8750 0.8934 0.5184  2 Fe 2.38, 2 Cu 2.44, 2 Mo 2.56
7 Mo 0.2500 0.7500 0.5000  2 Fe 2.42, 4 Cu 2.56
8 Mo 0.5000 0.5000 0.0000  2 Fe 2.42, 4 Cu 2.56